(1)
Entry from OQMD: an optimized crystal structure of CsZnPO (PBE).

The structure in POSCAR format:
```
CsZnPO
1.0
4.4910 0.0000 0.0000
0.0000 4.4910 0.0000
0.0000 0.0000 9.7040
Cs Zn P O
2 2 2 2
Direct
0.2500 0.7500 0.0000
0.7500 0.2500 0.0000
0.2500 0.2500 0.4846
0.7500 0.7500 0.5154
0.2500 0.2500 0.2438
0.7500 0.7500 0.7562
0.2500 0.7500 0.5000
0.7500 0.2500 0.5000
```

Computed properties:
For the energy above the most stable polymorph in this dataset, the calculation gives 355 kJ/mol of formula units. The symmetry is P4/nmm, No. 129.


(2)
Entry from OQMD: an optimized crystal structure of CsZnPO4 (PBE).

The structure in POSCAR format:
```
CsZnPO4
1.0
9.1502 0.0000 0.0000
0.0000 5.4331 0.0000
-0.0592 0.0000 18.2999
Cs Zn P O
8 8 8 32
Direct
0.1905 0.2121 0.2504
0.1905 0.2879 0.7504
0.2939 0.2433 0.4961
0.2939 0.2567 0.9961
0.7061 0.7433 0.0039
0.7061 0.7567 0.5039
0.8095 0.7121 0.2496
0.8095 0.7879 0.7496
0.0841 0.7445 0.5887
0.0841 0.7555 0.0887
0.4123 0.7117 0.3338
0.4123 0.7883 0.8338
0.5877 0.2117 0.1662
0.5877 0.2883 0.6662
0.9159 0.2445 0.9113
0.9159 0.2555 0.4113
0.0811 0.7453 0.9025
0.0811 0.7547 0.4025
0.4072 0.7142 0.1537
0.4072 0.7858 0.6537
0.5928 0.2142 0.3463
0.5928 0.2858 0.8463
0.9189 0.2453 0.5975
0.9189 0.2547 0.0975
0.0178 0.0478 0.6348
0.0178 0.4522 0.1348
0.0446 0.5025 0.3665
0.0446 0.9975 0.8665
0.0485 0.7479 0.4844
0.0485 0.7521 0.9844
0.2432 0.6793 0.8899
0.2432 0.8207 0.3899
0.2924 0.6813 0.5994
0.2924 0.8187 0.0994
0.3470 0.7363 0.2323
0.3470 0.7637 0.7323
0.4360 0.0598 0.6341
0.4360 0.4402 0.1341
0.4494 0.1357 0.8556
0.4494 0.3643 0.3556
0.5506 0.6357 0.6444
0.5506 0.8643 0.1444
0.5640 0.5598 0.8659
0.5640 0.9402 0.3659
0.6530 0.2363 0.2677
0.6530 0.2637 0.7677
0.7076 0.1813 0.9006
0.7076 0.3187 0.4006
0.7568 0.1793 0.6101
0.7568 0.3207 0.1101
0.9515 0.2479 0.0156
0.9515 0.2521 0.5156
0.9554 0.0025 0.1335
0.9554 0.4975 0.6335
0.9822 0.5478 0.8652
0.9822 0.9522 0.3652
```

Computed properties:
For the energy above the most stable polymorph in this dataset, the calculation gives 0 kJ/mol of formula units. The symmetry is P2_1/c, No. 14.


(3)
Entry from OQMD: an optimized crystal structure of CsZnPO (PBE).

The structure in POSCAR format:
```
CsZnPO
1.0
4.4622 0.0000 0.0000
0.0000 4.4622 0.0000
0.0000 0.0000 10.1542
Cs Zn P O
2 2 2 2
Direct
0.2500 0.7500 0.0000
0.7500 0.2500 0.0000
0.2500 0.2500 0.4721
0.7500 0.7500 0.5279
0.2500 0.2500 0.2397
0.7500 0.7500 0.7603
0.2500 0.7500 0.5000
0.7500 0.2500 0.5000
```

Computed properties:
For the energy above the most stable polymorph in this dataset, the calculation gives 352 kJ/mol of formula units. The symmetry is P4/nmm, No. 129.


(4)
Entry from OQMD: an optimized crystal structure of CsZnPO (PBE).

The structure in POSCAR format:
```
CsZnPO
1.0
3.7953 0.0000 0.0000
0.0000 3.7953 0.0000
0.0000 0.0000 12.7706
Cs Zn P O
2 2 2 2
Direct
0.2500 0.2500 0.1687
0.7500 0.7500 0.8313
0.2500 0.7500 0.5000
0.7500 0.2500 0.5000
0.2500 0.2500 0.6206
0.7500 0.7500 0.3794
0.2500 0.7500 0.0000
0.7500 0.2500 0.0000
```

Computed properties:
For the energy above the most stable polymorph in this dataset, the calculation gives 204 kJ/mol of formula units. The symmetry is P4/nmm, No. 129.


(5)
Entry from OQMD: an optimized crystal structure of CsZnPO4 (PBE).

The structure in POSCAR format:
```
CsZnPO4
1.0
8.8464 0.0000 0.0000
0.0000 5.4807 0.0000
0.0000 0.0000 9.6364
Cs Zn P O
4 4 4 16
Direct
0.0002 0.2500 0.2064
0.9998 0.7500 0.7936
0.5002 0.2500 0.2936
0.4998 0.7500 0.7064
0.1732 0.2500 0.5751
0.3268 0.7500 0.0751
0.6732 0.2500 0.9249
0.8268 0.7500 0.4249
0.2167 0.7500 0.4183
0.2833 0.2500 0.9183
0.7167 0.7500 0.0817
0.7833 0.2500 0.5817
0.0435 0.7500 0.4217
0.2193 0.0220 0.9941
0.2193 0.4780 0.9941
0.2230 0.2500 0.7696
0.2770 0.7500 0.2696
0.2807 0.5220 0.4941
0.2807 0.9780 0.4941
0.4565 0.2500 0.9217
0.5435 0.7500 0.0783
0.7193 0.0220 0.5059
0.7193 0.4780 0.5059
0.7230 0.2500 0.7304
0.7770 0.7500 0.2304
0.7807 0.5220 0.0059
0.7807 0.9780 0.0059
0.9565 0.2500 0.5783
```

Computed properties:
For the energy above the most stable polymorph in this dataset, the calculation gives 11 kJ/mol of formula units. The symmetry is Pnma, No. 62.


(6)
Entry from OQMD: an optimized crystal structure of CsZrP2O7 (PBE).

The structure in POSCAR format:
```
CsZrP2O7
1.0
3.7158 -4.3592 0.0000
3.7158 4.3592 0.0000
-0.3576 0.0000 5.5204
Cs Zr P O
1 1 2 7
Direct
0.0000 0.0000 0.0000
0.3707 0.6293 0.5000
0.5225 0.1007 0.4250
0.8993 0.4775 0.5750
0.9999 0.5929 0.3473
0.1062 0.4791 0.7593
0.4071 0.0001 0.6527
0.4144 0.3027 0.3194
0.5209 0.8938 0.2407
0.6973 0.5856 0.6806
0.7994 0.2006 0.5000
```

Computed properties:
The symmetry is C2, No. 5. For the total energy, the calculation gives -7.33 eV per atom.


(7)
Entry from OQMD: an optimized crystal structure of CsZrPO (PBE).

The structure in POSCAR format:
```
CsZrPO
1.0
4.0359 0.0000 0.0000
0.0000 8.9045 0.0000
0.0000 0.0000 6.7003
Cs Zr P O
2 2 2 2
Direct
0.0000 0.1664 0.0000
0.0000 0.8336 0.5000
0.5000 0.3963 0.5608
0.5000 0.6037 0.0608
0.0000 0.2357 0.4943
0.0000 0.7643 0.9943
0.5000 0.4333 0.8612
0.5000 0.5667 0.3612
```

Computed properties:
For the energy above the most stable polymorph in this dataset, the calculation gives 0 kJ/mol of formula units. The symmetry is Pmc2_1, No. 26.


(8)
Entry from OQMD: an optimized crystal structure of CsZrPO (PBE).

The structure in POSCAR format:
```
CsZrPO
1.0
4.5957 0.0000 0.0000
0.0000 4.5957 0.0000
0.0000 0.0000 9.9677
Cs Zr P O
2 2 2 2
Direct
0.2500 0.7500 0.0000
0.7500 0.2500 0.0000
0.2500 0.2500 0.4738
0.7500 0.7500 0.5262
0.2500 0.2500 0.2386
0.7500 0.7500 0.7614
0.2500 0.7500 0.5000
0.7500 0.2500 0.5000
```

Computed properties:
For the energy above the most stable polymorph in this dataset, the calculation gives 227 kJ/mol of formula units. The symmetry is P4/nmm, No. 129.


(9)
Entry from OQMD: an optimized crystal structure of Cs2ZrP2O8 (PBE).

The structure in POSCAR format:
```
Cs2ZrP2O8
1.0
5.2756 0.0000 0.0000
-2.6378 4.5688 0.0000
0.0000 0.0000 9.5244
Cs Zr P O
2 1 2 8
Direct
0.3333 0.6667 0.1452
0.6667 0.3333 0.8548
0.0000 0.0000 0.5000
0.3333 0.6667 0.6830
0.6667 0.3333 0.3170
0.1008 0.7398 0.6273
0.2602 0.3609 0.6273
0.3333 0.6667 0.8427
0.3609 0.1008 0.3727
0.6391 0.8992 0.6273
0.6667 0.3333 0.1573
0.7398 0.6391 0.3727
0.8992 0.2602 0.3727
```

Computed properties:
The symmetry is P-3, No. 147. For the total energy, the calculation gives -7.24 eV per atom.


(10)
Entry from OQMD: an optimized crystal structure of CsZrPO (PBE).

The structure in POSCAR format:
```
CsZrPO
1.0
3.6687 0.0000 0.0000
0.0000 7.9322 0.0000
0.0000 0.0000 7.7518
Cs Zr P O
2 2 2 2
Direct
0.0000 0.2073 0.0000
0.0000 0.7927 0.5000
0.5000 0.3085 0.4771
0.5000 0.6915 0.9771
0.5000 0.4868 0.7383
0.5000 0.5132 0.2383
0.0000 0.1871 0.4643
0.0000 0.8129 0.9643
```

Computed properties:
For the energy above the most stable polymorph in this dataset, the calculation gives 54 kJ/mol of formula units. The symmetry is Pmc2_1, No. 26.


(11)
Entry from OQMD: an optimized crystal structure of Cs2Zr2P2O9 (PBE).

The structure in POSCAR format:
```
Cs2Zr2P2O9
1.0
4.8314 0.0000 0.0000
-1.1399 6.3601 0.0000
-2.0220 -1.8362 8.2935
Cs Zr P O
2 2 2 9
Direct
0.1816 0.3090 0.1404
0.8184 0.6910 0.8596
0.1517 0.7923 0.4711
0.8483 0.2077 0.5289
0.3819 0.1418 0.7659
0.6181 0.8582 0.2341
0.0000 0.5000 0.5000
0.0876 0.2118 0.7654
0.3251 0.8904 0.7271
0.3893 0.7503 0.0802
0.4647 0.2024 0.6083
0.5353 0.7976 0.3917
0.6107 0.2497 0.9198
0.6749 0.1096 0.2729
0.9124 0.7882 0.2346
```

Computed properties:
The symmetry is P-1, No. 2. For the total energy, the calculation gives -7.34 eV per atom.


(12)
Entry from OQMD: an optimized crystal structure of CsPa2O6 (PBE).

The structure in POSCAR format:
```
CsPa2O6
1.0
0.0000 5.7151 5.7151
5.7151 0.0000 5.7151
5.7151 5.7151 0.0000
Cs Pa O
2 4 12
Direct
0.1250 0.1250 0.1250
0.8750 0.8750 0.8750
0.0000 0.5000 0.5000
0.5000 0.0000 0.5000
0.5000 0.5000 0.0000
0.5000 0.5000 0.5000
0.1797 0.1797 0.5703
0.1797 0.5703 0.1797
0.1797 0.5703 0.5703
0.4297 0.4297 0.8203
0.4297 0.8203 0.4297
0.4297 0.8203 0.8203
0.5703 0.1797 0.1797
0.5703 0.1797 0.5703
0.5703 0.5703 0.1797
0.8203 0.4297 0.4297
0.8203 0.4297 0.8203
0.8203 0.8203 0.4297
```

Computed properties:
The symmetry is Fd-3m, No. 227. For the total energy, the calculation gives -8.03 eV per atom.


(13)
Entry from OQMD: an optimized crystal structure of Cs2Pa2O5 (PBE).

The structure in POSCAR format:
```
Cs2Pa2O5
1.0
4.4577 0.0000 0.0000
0.0000 4.4577 0.0000
0.0000 0.0000 9.6676
Cs Pa O
2 2 5
Direct
0.0000 0.0000 0.0000
0.0000 0.0000 0.5000
0.5000 0.5000 0.2284
0.5000 0.5000 0.7716
0.0000 0.5000 0.2630
0.0000 0.5000 0.7370
0.5000 0.0000 0.2630
0.5000 0.0000 0.7370
0.5000 0.5000 0.0000
```

Computed properties:
The symmetry is P4/mmm, No. 123. For the total energy, the calculation gives -7.35 eV per atom.


(14)
Entry from OQMD: an optimized crystal structure of Cs2Pd2O5 (PBE).

The structure in POSCAR format:
```
Cs2Pd2O5
1.0
3.9695 0.0000 0.0000
0.0000 3.9695 0.0000
0.0000 0.0000 9.3850
Cs Pd O
2 2 5
Direct
0.0000 0.0000 0.0000
0.0000 0.0000 0.5000
0.5000 0.5000 0.2222
0.5000 0.5000 0.7778
0.0000 0.5000 0.2623
0.0000 0.5000 0.7377
0.5000 0.0000 0.2623
0.5000 0.0000 0.7377
0.5000 0.5000 0.0000
```

Computed properties:
For the energy above the most stable polymorph in this dataset, the calculation gives 0 kJ/mol of formula units. The symmetry is P4/mmm, No. 123.


(15)
Entry from OQMD: an optimized crystal structure of Cs2Pd2O5 (PBE).

The structure in POSCAR format:
```
Cs2Pd2O5
1.0
4.0396 0.0000 0.0000
0.0000 4.0396 0.0000
0.0000 0.0000 11.2592
Cs Pd O
2 2 5
Direct
0.0000 0.0000 0.2414
0.0000 0.0000 0.7586
0.5000 0.5000 0.0000
0.5000 0.5000 0.5000
0.0000 0.0000 0.0000
0.0000 0.5000 0.4362
0.0000 0.5000 0.5638
0.5000 0.0000 0.4362
0.5000 0.0000 0.5638
```

Computed properties:
For the energy above the most stable polymorph in this dataset, the calculation gives 413 kJ/mol of formula units. The symmetry is P4/mmm, No. 123.


(16)
Entry from OQMD: an optimized crystal structure of Cs4PdO4 (PBE).

The structure in POSCAR format:
```
Cs4PdO4
1.0
5.1033 -3.3529 0.0000
5.1033 3.3529 0.0000
-1.9385 0.0000 6.2742
Cs Pd O
4 1 4
Direct
0.1170 0.1170 0.3382
0.3129 0.3129 0.9094
0.6871 0.6871 0.0906
0.8830 0.8830 0.6618
0.5000 0.5000 0.5000
0.1830 0.5993 0.3110
0.4007 0.8170 0.6890
0.5993 0.1830 0.3110
0.8170 0.4007 0.6890
```

Computed properties:
The symmetry is C2/m, No. 12. For the total energy, the calculation gives -4.09 eV per atom.


(17)
Entry from OQMD: an optimized crystal structure of Cs6Pd2O5 (PBE).

The structure in POSCAR format:
```
Cs6Pd2O5
1.0
3.7206 -6.1873 0.0000
3.7206 6.1873 0.0000
-0.4672 0.0000 7.2812
Cs Pd O
6 2 5
Direct
0.0000 0.0000 0.0000
0.3046 0.3046 0.5945
0.4202 0.8982 0.2930
0.4441 0.8536 0.7922
0.8536 0.4441 0.7922
0.8982 0.4202 0.2930
0.4491 0.4491 0.1076
0.8569 0.8569 0.4875
0.0998 0.8081 0.5628
0.1991 0.4703 0.0062
0.4703 0.1991 0.0062
0.6467 0.6467 0.3030
0.8081 0.0998 0.5628
```

Computed properties:
The symmetry is Cm, No. 8. For the total energy, the calculation gives -3.96 eV per atom.


(18)
Entry from OQMD: an optimized crystal structure of CsRbPd2O4 (PBE).

The structure in POSCAR format:
```
CsRbPd2O4
1.0
5.9824 0.0000 0.0000
0.0000 2.3437 6.1304
0.0000 -2.3437 6.1304
Cs Rb Pd O
1 1 2 4
Direct
0.0000 0.0000 0.0000
0.5000 0.6080 0.6080
0.0000 0.3009 0.3009
0.5000 0.3070 0.3070
0.2457 0.4097 0.4097
0.2565 0.1985 0.1985
0.7435 0.1985 0.1985
0.7543 0.4097 0.4097
```

Computed properties:
The symmetry is Amm2, No. 38. For the total energy, the calculation gives -4.83 eV per atom.


(19)
Entry from OQMD: an optimized crystal structure of Cs2Sb2Pd2O7 (PBE).

The structure in POSCAR format:
```
Cs2Sb2Pd2O7
1.0
6.1429 0.0000 0.0000
-3.0715 5.3199 0.0000
0.0000 0.0000 8.5638
Cs Sb Pd O
2 2 2 7
Direct
0.3333 0.6667 0.1112
0.6667 0.3333 0.8888
0.3333 0.6667 0.6546
0.6667 0.3333 0.3454
0.0000 0.0000 0.2760
0.0000 0.0000 0.7240
0.0000 0.0000 0.5000
0.1839 0.3678 0.7906
0.1839 0.8161 0.7906
0.3678 0.1839 0.2094
0.6322 0.8161 0.7906
0.8161 0.1839 0.2094
0.8161 0.6322 0.2094
```

Computed properties:
The symmetry is P-3m1, No. 164. For the total energy, the calculation gives -5.05 eV per atom.